Compound: BaHg2Cl2
Source: the Alexandria database
Functional: PBE-GGA
Structure: relaxed

The calculation puts the density of states at the Fermi level at 1.20 states/eV per cell. As for the space group: I4/mmm, No. 139. The calculation puts the energy above the most stable polymorph in this dataset at 0 meV/atom.

Cell lengths 10.603, 10.603, 10.603 Å; angles 157.56, 157.56, 31.95 degrees
Element x y z (fractional)
Ba1 0.000 0.000 0.000
Hg1 0.250 0.750 0.500
Hg2 0.750 0.250 0.500
Cl1 0.421 0.421 0.000
Cl2 0.579 0.579 0.000

=====

Compound: Ba2HgCl
Source: the Alexandria database
Functional: PBE-GGA
Structure: relaxed

The calculation puts the density of states at the Fermi level at 4.37 states/eV per cell. As for the space group: R3m, No. 160. The calculation puts the energy above the most stable polymorph in this dataset at 35 meV/atom.

Cell lengths 9.275, 9.275, 9.275 Å; angles 28.45, 28.45, 28.45 degrees
Element x y z (fractional)
Ba1 0.000 0.000 0.000
Ba2 0.169 0.169 0.169
Hg1 0.584 0.584 0.584
Cl1 0.753 0.753 0.753

=====

Compound: Ba2HgCl
Source: the Alexandria database
Functional: PBE-GGA
Structure: relaxed

The calculation puts the density of states at the Fermi level at 4.09 states/eV per cell. As for the space group: Fm-3m, No. 225. The calculation puts the energy above the most stable polymorph in this dataset at 204 meV/atom.

Cell lengths 5.931, 5.931, 5.931 Å; angles 60.00, 60.00, 60.00 degrees
Element x y z (fractional)
Ba1 0.250 0.250 0.250
Ba2 0.750 0.750 0.750
Hg1 0.000 0.000 0.000
Cl1 0.500 0.500 0.500

=====

Compound: BaHg2Cl
Source: the Alexandria database
Functional: PBE-GGA
Structure: relaxed

The calculation puts the density of states at the Fermi level at 4.03 states/eV per cell. As for the space group: I-42d, No. 122. The calculation puts the energy above the most stable polymorph in this dataset at 123 meV/atom.

Cell lengths 7.501, 7.501, 7.501 Å; angles 99.57, 99.57, 131.87 degrees
Element x y z (fractional)
Ba1 0.000 0.000 0.000
Ba2 0.750 0.250 0.500
Hg1 0.135 0.625 0.010
Hg2 0.375 0.385 0.510
Hg3 0.615 0.125 0.990
Hg4 0.875 0.865 0.490
Cl1 0.250 0.750 0.500
Cl2 0.500 0.500 0.000